Crystalline KMoPb2 at its relaxed geometry. Source: Alexandria, functional PBE.

Lattice parameters (Å, degrees): 3.380 3.380 9.313 90.00 90.00 90.13
Sites, in units of the cell vectors:
1 K 0.000 0.000 0.000
2 Mo 0.000 0.000 0.500
3 Pb 0.500 0.500 0.301
4 Pb 0.500 0.500 0.699

Computed properties:
- Excess energy over the best structure of this formula in the dataset: 0.0 meV/atom
- E_tot: -0.1646 hartree per atom
- Formation energy from the elements: 357.1 meV per atom
- SG: Cmmm, No. 65



Crystalline ZrScGaPt at its relaxed geometry. Source: Alexandria, functional PBE.

Lattice parameters (Å, degrees): 4.260 5.506 5.506 36.58 90.00 90.00
Sites, in units of the cell vectors:
1 Zr 0.000 0.000 0.000
2 Sc 0.500 0.294 0.294
3 Ga 0.500 0.569 0.569
4 Pt 0.000 0.734 0.734

Computed properties:
- Excess energy over the best structure of this formula in the dataset: 0.0 meV/atom
- E_tot: -0.2522 hartree per atom
- Formation energy from the elements: -875.9 meV per atom
- SG: Amm2, No. 38



Crystalline Nd3Y6ErSc2 at its relaxed geometry. Source: Alexandria, functional PBE.

Lattice parameters (Å, degrees): 6.155 6.155 11.698 95.03 95.03 120.00
Sites, in units of the cell vectors:
1 Nd 0.000 0.000 0.000
2 Nd 0.333 0.667 0.000
3 Nd 0.667 0.333 0.000
4 Y 0.084 0.419 0.259
5 Y 0.245 0.245 0.741
6 Y 0.419 0.084 0.259
7 Y 0.581 0.916 0.741
8 Y 0.755 0.755 0.259
9 Y 0.916 0.581 0.741
10 Er 0.500 0.500 0.500
11 Sc 0.167 0.833 0.500
12 Sc 0.833 0.167 0.500

Computed properties:
- E_tot: -0.2137 hartree per atom
- Formation energy from the elements: 43.5 meV per atom
- SG: C2/m, No. 12



Crystalline Sr2YIr at its relaxed geometry. Source: Alexandria, functional PBE.

Lattice parameters (Å, degrees): 5.434 5.434 5.434 60.00 60.00 60.00
Sites, in units of the cell vectors:
1 Sr 0.250 0.250 0.250
2 Sr 0.750 0.750 0.750
3 Y 0.000 0.000 0.000
4 Ir 0.500 0.500 0.500

Computed properties:
- Excess energy over the best structure of this formula in the dataset: 668.7 meV/atom
- E_tot: -0.1579 hartree per atom
- Formation energy from the elements: 376.3 meV per atom
- SG: Fm-3m, No. 225



Crystalline CaCdSnBi at its relaxed geometry. Source: Alexandria, functional PBE.

Lattice parameters (Å, degrees): 5.479 5.479 5.479 60.00 60.00 60.00
Sites, in units of the cell vectors:
1 Ca 0.000 0.000 0.000
2 Cd 0.250 0.250 0.250
3 Sn 0.500 0.500 0.500
4 Bi 0.750 0.750 0.750

Computed properties:
- Excess energy over the best structure of this formula in the dataset: 131.6 meV/atom
- E_tot: -0.1080 hartree per atom
- Formation energy from the elements: -239.7 meV per atom
- SG: F-43m, No. 216



Crystalline SrSeF at its relaxed geometry. Source: Alexandria, functional PBE.

Lattice parameters (Å, degrees): 7.390 7.390 7.390 148.23 138.65 53.07
Sites, in units of the cell vectors:
1 Sr 0.159 0.159 0.000
2 Sr 0.841 0.841 0.000
3 Se 0.255 0.500 0.755
4 Se 0.745 0.500 0.245
5 F 0.265 0.765 0.500
6 F 0.735 0.235 0.500

Computed properties:
- ΔE_f (raw): -2.568 eV/atom
- E_tot: -0.1806 hartree per atom
- SG: Immm, No. 71



Crystalline Er2GaAs at its relaxed geometry. Source: Alexandria, functional PBE.

Lattice parameters (Å, degrees): 11.468 11.468 4.059 90.00 90.00 159.01
Sites, in units of the cell vectors:
1 Er 0.065 0.935 0.750
2 Er 0.315 0.685 0.750
3 Er 0.685 0.315 0.250
4 Er 0.935 0.065 0.250
5 Ga 0.463 0.537 0.750
6 Ga 0.537 0.463 0.250
7 As 0.189 0.811 0.750
8 As 0.811 0.189 0.250

Computed properties:
- Excess energy over the best structure of this formula in the dataset: 0.0 meV/atom
- E_tot: -0.1933 hartree per atom
- Formation energy from the elements: -1059.2 meV per atom
- SG: Cmcm, No. 63



Crystalline Y2ZnRe at its relaxed geometry. Source: Alexandria, functional PBE.

Lattice parameters (Å, degrees): 9.087 9.087 9.087 22.02 22.02 22.02
Sites, in units of the cell vectors:
1 Y 0.244 0.244 0.244
2 Y 0.756 0.756 0.756
3 Zn 0.000 0.000 0.000
4 Re 0.500 0.500 0.500

Computed properties:
- E_tot: -0.2353 hartree per atom
- Formation energy from the elements: 260.4 meV per atom
- SG: R-3m, No. 166



Crystalline GdMgBeCu at its relaxed geometry. Source: Alexandria, functional PBE.

Lattice parameters (Å, degrees): 4.676 4.676 4.676 60.00 60.00 60.00
Sites, in units of the cell vectors:
1 Gd 0.000 0.000 0.000
2 Mg 0.500 0.500 0.500
3 Be 0.750 0.750 0.750
4 Cu 0.250 0.250 0.250

Computed properties:
- E_tot: -0.2167 hartree per atom
- Formation energy from the elements: -23.1 meV per atom
- SG: F-43m, No. 216



Crystalline Dy2Zn3Cu12Pd at its relaxed geometry. Source: Alexandria, functional PBE.

Lattice parameters (Å, degrees): 9.663 9.663 9.663 37.11 37.11 37.11
Sites, in units of the cell vectors:
1 Dy 0.144 0.144 0.144
2 Dy 0.856 0.856 0.856
3 Zn 0.000 0.500 0.500
4 Zn 0.500 0.000 0.500
5 Zn 0.500 0.500 0.000
6 Cu 0.082 0.082 0.695
7 Cu 0.082 0.695 0.082
8 Cu 0.085 0.609 0.609
9 Cu 0.305 0.918 0.918
10 Cu 0.391 0.391 0.915
11 Cu 0.391 0.915 0.391
12 Cu 0.609 0.085 0.609
13 Cu 0.609 0.609 0.085
14 Cu 0.695 0.082 0.082
15 Cu 0.915 0.391 0.391
16 Cu 0.918 0.305 0.918
17 Cu 0.918 0.918 0.305
18 Pd 0.500 0.500 0.500

Computed properties:
- E_tot: -0.1339 hartree per atom
- Formation energy from the elements: 99.8 meV per atom
- SG: R-3m, No. 166



Crystalline CuNiAgPt at its relaxed geometry. Source: Alexandria, functional PBE.

Lattice parameters (Å, degrees): 4.306 4.306 4.306 60.00 60.00 60.00
Sites, in units of the cell vectors:
1 Cu 0.000 0.000 0.000
2 Ni 0.500 0.500 0.500
3 Ag 0.250 0.250 0.250
4 Pt 0.750 0.750 0.750

Computed properties:
- E_tot: -0.1698 hartree per atom
- Formation energy from the elements: 71.2 meV per atom
- SG: F-43m, No. 216



Crystalline GaMo3Pt at its relaxed geometry. Source: Alexandria, functional PBE.

Lattice parameters (Å, degrees): 4.787 4.787 4.787 90.00 90.00 90.00
Sites, in units of the cell vectors:
1 Ga 0.000 0.000 0.000
2 Mo 0.000 0.500 0.500
3 Mo 0.500 0.000 0.500
4 Mo 0.500 0.500 0.000
5 Pt 0.500 0.500 0.500

Computed properties:
- Excess energy over the best structure of this formula in the dataset: 264.9 meV/atom
- E_tot: -0.2432 hartree per atom
- Formation energy from the elements: 1695.4 meV per atom
- SG: Pm-3m, No. 221



Among the records above, which one has the highest E_tot?
CaCdSnBi



The lowest E_tot belongs to which entry?
ZrScGaPt



Which value of E_tot does entry 2 give?
-0.2522 hartree per atom